# 1
Entry from Alexandria: an optimized crystal structure of Zr4ScIn3 (PBE).

Unit cell a=10.3706 b=6.3169 c=5.5050 alpha=90.00 beta=90.00 gamma=90.00
With the nearest neighbours (Å) after each atom.
Fractional positions:
Zr  0.0000  0.2460  0.0000  4 Zr 3.11-3.21, 2 Sc 3.16, 6 In 3.19
Zr  0.0000  0.7540  0.0000  4 Zr 3.11-3.21, 2 Sc 3.16, 6 In 3.19
Zr  0.2500  0.2495  0.3179  4 Zr 3.13-3.16, 6 In 3.13-3.22, 2 Sc 3.20
Zr  0.2500  0.7505  0.3179  4 Zr 3.13-3.16, 6 In 3.13-3.22, 2 Sc 3.20
Zr  0.5000  0.2460  0.0000  4 Zr 3.11-3.21, 2 Sc 3.16, 6 In 3.19
Zr  0.5000  0.7540  0.0000  4 Zr 3.11-3.21, 2 Sc 3.16, 6 In 3.19
Zr  0.7500  0.2495  0.6821  4 Zr 3.13-3.16, 6 In 3.13-3.22, 2 Sc 3.20
Zr  0.7500  0.7505  0.6821  4 Zr 3.13-3.16, 6 In 3.13-3.22, 2 Sc 3.20
Sc  0.0000  0.0000  0.5000  4 In 3.13-3.16, 8 Zr 3.16-3.20
Sc  0.5000  0.0000  0.5000  4 In 3.13-3.16, 8 Zr 3.16-3.20
In  0.0000  0.5000  0.5000  2 In 3.16, 2 Sc 3.16, 8 Zr 3.19-3.20
In  0.2500  0.0000  0.8171  2 Sc 3.13, 2 In 3.16, 8 Zr 3.17-3.19
In  0.2500  0.5000  0.8275  8 Zr 3.13-3.22, 4 In 3.16
In  0.5000  0.5000  0.5000  2 In 3.16, 2 Sc 3.16, 8 Zr 3.19-3.20
In  0.7500  0.0000  0.1829  2 Sc 3.13, 2 In 3.16, 8 Zr 3.17-3.19
In  0.7500  0.5000  0.1725  8 Zr 3.13-3.22, 4 In 3.16

Calculated values
The calculation puts the density of states at the Fermi level at 9.20 states/eV/f.u. As for the space group: Pmma, No. 51. As for the crystal system: orthorhombic. For the formation energy, the calculation gives -0.234 eV/atom.



# 2
Entry from Alexandria: an optimized crystal structure of Zr2Al5Si (PBE).

Unit cell a=8.7979 b=8.7979 c=8.7979 alpha=152.81 beta=152.81 gamma=38.84
With the nearest neighbours (Å) after each atom.
Fractional positions:
Zr  0.2444  0.2444  0.0000  4 Zr 2.93, 8 Al 2.94-3.07
Zr  0.7556  0.7556  0.0000  4 Zr 2.93, 8 Al 2.94-3.07
Al  0.0000  0.0000  0.0000  8 Al 2.85, 4 Si 2.93
Al  0.1185  0.6185  0.5000  6 Al 2.85-2.93, 2 Si 2.85, 4 Zr 2.94-3.07
Al  0.3815  0.8815  0.5000  6 Al 2.85-2.93, 2 Si 2.85, 4 Zr 2.94-3.07
Al  0.6185  0.1185  0.5000  6 Al 2.85-2.93, 2 Si 2.85, 4 Zr 2.94-3.07
Al  0.8815  0.3815  0.5000  6 Al 2.85-2.93, 2 Si 2.85, 4 Zr 2.94-3.07
Si  0.5000  0.5000  0.0000  12 Al 2.85-2.93

Calculated values
The calculation puts the density of states at the Fermi level at 4.67 states/eV/f.u. For the polymorph energy (0 for the lowest one), the calculation gives 306 meV/atom. As for the space group: I4/mmm, No. 139. As for the crystal system: tetragonal. The calculation puts the uncorrected formation energy at -0.10 eV/atom.



# 3
Entry from Alexandria: an optimized crystal structure of Hf2Si6Ni21 (PBE).

Unit cell a=7.9214 b=7.9214 c=7.9214 alpha=60.00 beta=60.00 gamma=60.00
With the nearest neighbours (Å) after each atom.
Fractional positions:
Hf  0.2500  0.2500  0.2500  4 Ni 2.56
Hf  0.7500  0.7500  0.7500  4 Ni 2.56
Si  0.2358  0.2358  0.7642  8 Ni 2.20-2.29
Si  0.2358  0.7642  0.2358  8 Ni 2.20-2.29
Si  0.2358  0.7642  0.7642  8 Ni 2.20-2.29
Si  0.7642  0.2358  0.2358  8 Ni 2.20-2.29
Si  0.7642  0.2358  0.7642  8 Ni 2.20-2.29
Si  0.7642  0.7642  0.2358  8 Ni 2.20-2.29
Ni  0.1183  0.1183  0.1183  3 Si 2.29, 1 Hf 2.56
Ni  0.1183  0.1183  0.6452  3 Si 2.29, 1 Hf 2.56
Ni  0.1183  0.6452  0.1183  3 Si 2.29, 1 Hf 2.56
Ni  0.1486  0.5000  0.5000  2 Si 2.20, 1 Ni 2.35
Ni  0.1486  0.5000  0.8514  2 Si 2.20, 1 Ni 2.35
Ni  0.1486  0.8514  0.5000  2 Si 2.20, 1 Ni 2.35
Ni  0.3548  0.8817  0.8817  3 Si 2.29, 1 Hf 2.56
Ni  0.5000  0.1486  0.5000  2 Si 2.20, 1 Ni 2.35
Ni  0.5000  0.1486  0.8514  2 Si 2.20, 1 Ni 2.35
Ni  0.5000  0.5000  0.1486  2 Si 2.20, 1 Ni 2.35
Ni  0.5000  0.5000  0.5000  12 Ni 2.78, 6 Si 2.96
Ni  0.5000  0.5000  0.8514  2 Si 2.20, 1 Ni 2.35
Ni  0.5000  0.8514  0.1486  2 Si 2.20, 1 Ni 2.35
Ni  0.5000  0.8514  0.5000  2 Si 2.20, 1 Ni 2.35
Ni  0.6452  0.1183  0.1183  3 Si 2.29, 1 Hf 2.56
Ni  0.8514  0.1486  0.5000  2 Si 2.20, 1 Ni 2.35
Ni  0.8514  0.5000  0.1486  2 Si 2.20, 1 Ni 2.35
Ni  0.8514  0.5000  0.5000  2 Si 2.20, 1 Ni 2.35
Ni  0.8817  0.3548  0.8817  3 Si 2.29, 1 Hf 2.56
Ni  0.8817  0.8817  0.3548  3 Si 2.29, 1 Hf 2.56
Ni  0.8817  0.8817  0.8817  3 Si 2.29, 1 Hf 2.56

Calculated values
The calculation puts the density of states at the Fermi level at 24.71 states/eV/f.u. As for the space group: Fm-3m, No. 225. As for the crystal system: cubic. The calculation puts the uncorrected formation energy at -0.42 eV/atom.